1.
DFT (PBE-GGA) results for K2AlAs after structural relaxation.

Lattice parameters (Å, degrees): 7.322 6.343 3.102 90.00 64.94 118.27
Fractional positions:
As (0.500, 0.500, 0.000)
K (0.000, 0.000, 0.000)
K (0.500, 0.000, 0.500)
Al (0.000, 0.500, 0.500)

Crystal system: orthorhombic
Energy of formation from the pure elements, meV/atom: 170
Volume, Å³/atom: 27.81
Excess energy over the best structure of this formula in the dataset, meV per atom: 436
Space-group type: Cmmm (65)

=====

2.
DFT (PBE-GGA) results for Tb8Zn2Cu after structural relaxation.

Lattice parameters (Å, degrees): 5.099 6.770 9.216 104.42 106.06 90.00
Fractional positions:
Tb (0.409, 0.549, 0.818)
Tb (0.661, 0.968, 0.323)
Tb (0.800, 0.684, 0.599)
Tb (0.973, 0.222, 0.946)
Tb (0.200, 0.316, 0.401)
Tb (0.339, 0.032, 0.677)
Tb (0.591, 0.451, 0.182)
Tb (0.027, 0.778, 0.054)
Zn (0.812, 0.269, 0.624)
Zn (0.188, 0.731, 0.376)
Cu (0.500, 0.000, 0.000)

Crystal system: monoclinic
Energy of formation from the pure elements, meV/atom: -119
Volume, Å³/atom: 26.85
Excess energy over the best structure of this formula in the dataset, meV per atom: 0
Space-group type: C2/m (12)

=====

> The lowest energy of formation from the pure elements belongs to which entry?

Tb8Zn2Cu

=====

> The lowest volume belongs to which entry?

Tb8Zn2Cu

=====

> What is the volume in the first record?

27.81 Å³/atom

=====

> Among the records above, which one has the highest excess energy over the best structure of this formula in the dataset?

K2AlAs